4
Lattice="-0.4557 -3.6592 -3.1638 1.0746 -4.1947 2.2039 -2.9981 3.6251 1.2153" Properties=species:S:1:pos:R:3 comment="PBE-GGA TcSbRh2, relaxed" e_form_raw_mev_per_atom=-88 final_energy_ev_per_cell=-29.5 pbc="T T T"
Rh 0.6190 -7.8536 -0.9599
Rh 0.3095 -3.9271 -0.4800
Sb -1.5721 -1.9805 -1.2143
Tc -0.8070 -2.2482 1.4696